# 1
DFT (PBE-GGA) results for a geometry-optimized FeTePb structure.

a b c (Å): 4.4418 4.4418 4.4052
angles (deg): 90.00 90.00 120.00
Closest atoms and distances in Å follow each position.
Sites, in units of the cell vectors:
Fe1 0.0000 0.0000 0.0000  3 Te 2.56
Te1 0.3333 0.6667 0.9974  3 Fe 2.56
Pb1 0.6667 0.3333 0.4965  6 Fe 3.37-3.39, 6 Te 3.38

Results
As for the uncorrected formation energy: 0.27 eV per atom. The value obtained for the energy above the most stable polymorph in this dataset is 40.7 meV/atom. The calculation puts the density of states at the Fermi level at 4.342 states/eV/cell. Its total energy is -4.832 eV per atom.


# 2
DFT (PBE-GGA) results for a geometry-optimized Ac2NdErSb4 structure.

a b c (Å): 8.0028 4.6241 8.0032
angles (deg): 90.00 109.48 90.00
Closest atoms and distances in Å follow each position.
Sites, in units of the cell vectors:
Ac1 0.0000 0.0000 0.0000  6 Sb 3.33
Ac2 0.0000 0.5000 0.5000  6 Sb 3.38
Nd1 0.5000 0.0000 0.5000  6 Sb 3.21
Er1 0.5000 0.5000 0.0000  6 Sb 3.16
Sb1 0.2683 0.5000 0.2511  1 Er 3.16, 2 Nd 3.21, 3 Ac 3.33-3.38
Sb2 0.2718 0.0000 0.7623  2 Er 3.16, 1 Nd 3.21, 3 Ac 3.33-3.38
Sb3 0.7282 0.0000 0.2377  2 Er 3.16, 1 Nd 3.21, 3 Ac 3.33-3.38
Sb4 0.7317 0.5000 0.7489  1 Er 3.16, 2 Nd 3.21, 3 Ac 3.33-3.38

Results
As for the uncorrected formation energy: -1.16 eV per atom. The calculation puts the density of states at the Fermi level at 0.996 states/eV/cell. Its total energy is -5.411 eV per atom.


# 3
DFT (PBE-GGA) results for a geometry-optimized Ga4Ge structure.

a b c (Å): 4.9980 4.9980 4.9980
angles (deg): 90.00 90.00 90.00
Closest atoms and distances in Å follow each position.
Sites, in units of the cell vectors:
Ga1 0.0000 0.0000 0.0000  12 Ga 3.53
Ga2 0.0000 0.5000 0.5000  2 Ge 2.50
Ga3 0.5000 0.0000 0.5000  2 Ge 2.50
Ga4 0.5000 0.5000 0.0000  2 Ge 2.50
Ge1 0.5000 0.5000 0.5000  6 Ga 2.50

Results
The calculation puts the density of states at the Fermi level at 2.875 states/eV/cell. For the energy of formation from the pure elements, the calculation gives 0.407 eV per atom. Its total energy is -2.938 eV per atom.


# 4
DFT (PBE-GGA) results for a geometry-optimized Na2Li3Pb8 structure.

a b c (Å): 5.0411 8.3300 9.7954
angles (deg): 110.32 90.15 107.52
Closest atoms and distances in Å follow each position.
Sites, in units of the cell vectors:
Na1 0.1263 0.2480 0.2007  7 Pb 3.21-3.48, 1 Li 3.39
Na2 0.8737 0.7520 0.7993  7 Pb 3.21-3.48, 1 Li 3.39
Li1 0.0000 0.0000 0.5000  8 Pb 3.01-3.10
Li2 0.3510 0.7017 0.2875  7 Pb 3.07-3.12, 1 Na 3.39
Li3 0.6490 0.2983 0.7125  7 Pb 3.07-3.12, 1 Na 3.39
Pb1 0.0860 0.1683 0.8301  3 Li 3.01-3.10, 1 Na 3.21, 3 Pb 3.30-3.35
Pb2 0.2074 0.4158 0.5826  3 Li 3.10-3.12, 1 Pb 3.39
Pb3 0.3037 0.6138 0.9529  1 Li 3.09, 6 Pb 3.30-3.44, 2 Na 3.31-3.33
Pb4 0.4396 0.8817 0.6230  4 Li 3.07-3.10, 2 Na 3.41-3.43
Pb5 0.5604 0.1183 0.3770  4 Li 3.07-3.10, 2 Na 3.41-3.43
Pb6 0.6963 0.3862 0.0471  1 Li 3.09, 6 Pb 3.30-3.44, 2 Na 3.31-3.33
Pb7 0.7926 0.5842 0.4174  3 Li 3.10-3.12, 1 Pb 3.39
Pb8 0.9140 0.8317 0.1699  3 Li 3.01-3.10, 1 Na 3.21, 3 Pb 3.30-3.35

Results
The calculation puts the density of states at the Fermi level at 5.373 states/eV/cell. For the energy of formation from the pure elements, the calculation gives -0.125 eV per atom. Its total energy is -3.051 eV per atom.